No. 1
Entry from the Alexandria database: Tb2AlSe after structural relaxation (PBE-GGA).

Computed properties:
SG ... No. 160
ΔE to the lowest computed polymorph ... 174 meV/atom
E_form (uncorrected) ... -3.8 eV per formula unit

abc: 3.8150 3.8150 8.4207
angles: 76.91 76.91 60.00
Fractional positions:
Tb (0.2468, 0.2468, 0.2595)
Se (0.4992, 0.4992, 0.5025)
Al (0.6673, 0.6673, 0.9980)
Tb (0.0866, 0.0866, 0.7401)

No. 2
Entry from the Alexandria database: Tl2CrMo after structural relaxation (PBE-GGA).

Computed properties:
Energy of formation from the pure elements ... 0.53 eV/atom
SG ... No. 99
ΔE to the lowest computed polymorph ... 27 meV/atom

abc: 3.1470 3.1470 8.3869
angles: 90.00 90.00 90.00
Last column: magnetic moment on the atom in μB.
Fractional positions:
Cr (0.0000, 0.0000, 0.5535)  1.47
Tl (0.5000, 0.5000, 0.2977)  -0.01
Mo (0.5000, 0.5000, 0.6925)  -0.72
Tl (0.0000, 0.0000, 0.9563)  0.00

No. 3
Entry from the Alexandria database: LiPrErBi after structural relaxation (PBE-GGA).

Computed properties:
Energy of formation from the pure elements ... -0.31 eV/atom
SG ... No. 216

abc: 5.3895 5.3895 5.3895
angles: 60.00 60.00 60.00
Fractional positions:
Bi (0.5000, 0.5000, 0.5000)
Er (0.7500, 0.7500, 0.7500)
Li (0.0000, 0.0000, 0.0000)
Pr (0.2500, 0.2500, 0.2500)

No. 4
Entry from the Alexandria database: MnSb2TeN after structural relaxation (PBE-GGA).

Computed properties:
SG ... No. 123
ΔE to the lowest computed polymorph ... 0 meV/atom
E_form (uncorrected) ... 3.6 eV per formula unit

abc: 4.7646 4.7646 4.6515
angles: 90.00 90.00 90.00
Last column: magnetic moment on the atom in μB.
Fractional positions:
N (0.0000, 0.0000, 0.0000)  -0.05
Sb (0.5000, 0.0000, 0.0000)  -0.10
Te (0.0000, 0.0000, 0.5000)  -0.05
Mn (0.5000, 0.5000, 0.5000)  4.02
Sb (0.0000, 0.5000, 0.0000)  -0.10

No. 5
Entry from the Alexandria database: Nd2ErSc after structural relaxation (PBE-GGA).

Computed properties:
Energy of formation from the pure elements ... 0.04 eV/atom
SG ... No. 59
ΔE to the lowest computed polymorph ... 1 meV/atom

abc: 5.6518 6.1764 7.2402
angles: 90.00 90.00 90.00
Fractional positions:
Nd (0.5000, 0.1736, 0.7518)
Er (0.0000, 0.3408, 0.5000)
Nd (0.5000, 0.1736, 0.2482)
Er (0.5000, 0.6592, 0.0000)
Sc (0.0000, 0.3334, 0.0000)
Sc (0.5000, 0.6666, 0.5000)
Nd (0.0000, 0.8264, 0.7482)
Nd (0.0000, 0.8264, 0.2518)

No. 6
Entry from the Alexandria database: Tb2Tm6Pu after structural relaxation (PBE-GGA).

Computed properties:
Energy of formation from the pure elements ... 0.05 eV/atom
SG ... No. 12

abc: 4.9260 7.8148 9.2302
angles: 95.00 122.26 108.38
Last column: magnetic moment on the atom in μB.
Fractional positions:
Tm (0.6645, 0.3297, 0.9998)  0.10
Tb (0.1149, 0.8891, 0.6703)  0.06
Tm (0.7805, 0.2216, 0.6697)  -0.04
Tm (0.2197, 0.7785, 0.3305)  -0.04
Tb (0.8851, 0.1108, 0.3296)  0.06
Tm (0.3356, 0.6704, 0.0003)  0.10
Pu (0.9999, 0.0000, 0.9999)  5.61
Tm (0.4482, 0.5583, 0.6690)  -0.05
Tm (0.5517, 0.4416, 0.3310)  -0.05

No. 7
Entry from the Alexandria database: SrCa2YTl4 after structural relaxation (PBE-GGA).

Computed properties:
Energy of formation from the pure elements ... -0.41 eV/atom
SG ... No. 166

abc: 5.5345 5.5345 9.6043
angles: 73.25 73.25 60.00
Fractional positions:
Sr (0.0000, 0.0000, 0.0000)
Ca (0.2498, 0.2498, 0.2507)
Tl (0.1269, 0.1269, 0.6192)
Y (0.5000, 0.5000, 0.5000)
Tl (0.8731, 0.8731, 0.3808)
Tl (0.6206, 0.6206, 0.1382)
Tl (0.3794, 0.3794, 0.8618)
Ca (0.7502, 0.7502, 0.7493)

No. 8
Entry from the Alexandria database: LiPa2Tl3Te6 after structural relaxation (PBE-GGA).

Computed properties:
SG ... No. 12
E_form (uncorrected) ... -8.2 eV per formula unit

abc: 7.6579 7.6579 8.6161
angles: 98.45 98.45 120.11
Last column: magnetic moment on the atom in μB.
Fractional positions:
Te (0.4108, 0.0714, 0.2145)  -0.03
Te (0.0714, 0.4108, 0.2145)  -0.03
Li (0.0000, 0.0000, 0.0000)  0.00
Te (0.7323, 0.7323, 0.2092)  -0.03
Te (0.9286, 0.5892, 0.7855)  -0.03
Tl (0.8347, 0.1653, 0.5000)  0.00
Te (0.2677, 0.2677, 0.7908)  -0.03
Tl (0.5000, 0.5000, 0.5000)  0.00
Pa (0.3328, 0.6672, 0.0000)  0.99
Pa (0.6672, 0.3328, 0.0000)  0.99
Tl (0.1653, 0.8347, 0.5000)  0.00
Te (0.5892, 0.9286, 0.7855)  -0.03